Entry 1:
DFT (meta-GGA SCAN) results for SrGa2Si2O8 at its PBEsol-relaxed geometry.

Calculated values
Its crystal system is monoclinic. As for the density of states at the Fermi level: 0.00 states/eV/cell.

Cell lengths 13.2534, 13.1929, 8.5052 Å; angles 90.00, 99.95, 90.00 degrees
Space group C2/c (No. 15)
Unique sites:
Sr  0.1839  0.2455  0.1970 [8 per cell]
Ga  0.0803  0.3730  0.5235 [8 per cell]
Ga  0.1302  0.0715  0.8800 [8 per cell]
Si  0.0795  0.1397  0.5069 [8 per cell]
Si  0.1440  0.4206  0.9019 [8 per cell]
O  0.0445  0.1342  0.9988 [8 per cell]
O  0.0589  0.3717  0.9980 [8 per cell]
O  0.1083  0.2503  0.4374 [8 per cell]
O  0.1194  0.0644  0.3779 [8 per cell]
O  0.1346  0.4574  0.3911 [8 per cell]
O  0.1421  0.1279  0.6886 [8 per cell]
O  0.1490  0.3700  0.7283 [8 per cell]
O  0.2496  0.1264  0.9931 [8 per cell]

Entry 2:
DFT (meta-GGA SCAN) results for SrGa2Si2O8 at its PBEsol-relaxed geometry.

Calculated values
Its crystal system is monoclinic. As for the density of states at the Fermi level: 0.00 states/eV/cell.

Cell lengths 8.3994, 9.5060, 9.0160 Å; angles 90.00, 90.78, 90.00 degrees
Space group P2_1/c (No. 14)
Unique sites:
Sr  0.2471  0.0861  0.1120 [4 per cell]
Ga  0.0718  0.6898  0.0532 [4 per cell]
Ga  0.4310  0.0746  0.7283 [4 per cell]
Si  0.0599  0.0816  0.7440 [4 per cell]
Si  0.4453  0.7011  0.0618 [4 per cell]
O  0.0139  0.0693  0.3092 [4 per cell]
O  0.0597  0.6279  0.6218 [4 per cell]
O  0.0659  0.1941  0.6075 [4 per cell]
O  0.2377  0.0733  0.8221 [4 per cell]
O  0.2734  0.6415  0.0071 [4 per cell]
O  0.4264  0.1985  0.5739 [4 per cell]
O  0.4355  0.6351  0.6194 [4 per cell]
O  0.4816  0.0986  0.3058 [4 per cell]

Entry 3:
DFT (meta-GGA SCAN) results for Sr3Ga4O9 at its PBEsol-relaxed geometry.

Calculated values
Its crystal system is triclinic. As for the density of states at the Fermi level: 0.00 states/eV/cell.

Cell lengths 6.7342, 8.0121, 9.6981 Å; angles 85.17, 72.54, 74.45 degrees
Space group P-1 (No. 2)
Unique sites:
Sr  0.0608  0.0520  0.1879 [2 per cell]
Sr  0.1871  0.5673  0.1776 [2 per cell]
Sr  0.3144  0.2156  0.4600 [2 per cell]
Ga  0.2517  0.7513  0.4444 [2 per cell]
Ga  0.3360  0.5504  0.7337 [2 per cell]
Ga  0.3895  0.1697  0.8005 [2 per cell]
Ga  0.4399  0.8038  0.9191 [2 per cell]
O  0.0182  0.8194  0.3774 [2 per cell]
O  0.2042  0.3723  0.7604 [2 per cell]
O  0.2195  0.7437  0.6399 [2 per cell]
O  0.2398  0.0146  0.9003 [2 per cell]
O  0.2900  0.2434  0.2037 [2 per cell]
O  0.3020  0.6321  0.9144 [2 per cell]
O  0.3745  0.5224  0.3722 [2 per cell]
O  0.4091  0.8000  0.1161 [2 per cell]
O  0.4378  0.9001  0.3859 [2 per cell]

Entry 4:
DFT (meta-GGA SCAN) results for Sr3Ti3Ga8O20 at its PBEsol-relaxed geometry.

Calculated values
Its crystal system is monoclinic. As for the density of states at the Fermi level: 9.03 states/eV/cell.

Cell lengths 15.5647, 11.6934, 5.1264 Å; angles 90.00, 108.66, 90.00 degrees
Space group C2/m (No. 12)
Unique sites:
Sr  0.0000  0.0000  0.0000 [2 per cell]
Sr  0.2273  0.5000  0.7142 [4 per cell]
Ti  0.0000  0.3740  0.5000 [4 per cell]
Ti  0.0000  0.5000  0.0000 [2 per cell]
Ga  0.1412  0.2818  0.1686 [8 per cell]
Ga  0.1421  0.1355  0.6516 [8 per cell]
O  0.0710  0.5000  0.4014 [4 per cell]
O  0.0768  0.3804  0.8930 [8 per cell]
O  0.0798  0.2517  0.4207 [8 per cell]
O  0.0935  0.0000  0.4908 [4 per cell]
O  0.1421  0.1383  0.0120 [8 per cell]
O  0.2414  0.3634  0.3574 [8 per cell]

Entry 5:
DFT (meta-GGA SCAN) results for TaTiGaO6 at its PBEsol-relaxed geometry.

Calculated values
Its crystal system is tetragonal. As for the density of states at the Fermi level: 0.00 states/eV/cell.

Cell lengths 4.6306, 4.6306, 8.9836 Å; angles 90.00, 90.00, 90.00 degrees
Space group P4_2nm (No. 102)
Unique sites:
Ta  0.0000  0.0000  0.0000 [2 per cell]
Ti  0.0000  0.0000  0.6660 [2 per cell]
Ga  0.0000  0.0000  0.3340 [2 per cell]
O  0.1954  0.1954  0.5017 [4 per cell]
O  0.1955  0.1955  0.8320 [4 per cell]
O  0.1996  0.1996  0.1658 [4 per cell]

Entry 6:
DFT (meta-GGA SCAN) results for Ga2Te2O at its PBEsol-relaxed geometry.

Calculated values
Its crystal system is tetragonal. As for the density of states at the Fermi level: 3.09 states/eV/cell.

Cell lengths 3.8765, 3.8765, 13.8251 Å; angles 90.00, 90.00, 90.00 degrees
Space group I4/mmm (No. 139)
Unique sites:
Ga  0.0000  0.5000  0.2500 [4 per cell]
Te  0.0000  0.0000  0.1078 [4 per cell]
O  0.0000  0.0000  0.5000 [2 per cell]

Entry 7:
DFT (meta-GGA SCAN) results for GaTeO2 at its PBEsol-relaxed geometry.

Calculated values
Its crystal system is tetragonal. As for the density of states at the Fermi level: 3.99 states/eV/cell.

Cell lengths 5.2923, 5.2923, 8.7235 Å; angles 90.00, 90.00, 90.00 degrees
Space group I-42d (No. 122)
Unique sites:
Ga  0.0000  0.0000  0.0000 [4 per cell]
Te  0.0000  0.0000  0.5000 [4 per cell]
O  0.1281  0.7500  0.1250 [8 per cell]

Entry 8:
DFT (meta-GGA SCAN) results for ZnGa2Te4O12 at its PBEsol-relaxed geometry.

Calculated values
Its crystal system is tetragonal. As for the density of states at the Fermi level: 0.00 states/eV/cell.

Cell lengths 10.4571, 10.4571, 10.5085 Å; angles 90.00, 90.00, 90.00 degrees
Space group I-42d (No. 122)
Unique sites:
Zn  0.0000  0.0000  0.0000 [4 per cell]
Ga  0.1187  0.7500  0.6250 [8 per cell]
Te  0.1085  0.6515  0.9862 [16 per cell]
O  0.0324  0.6253  0.5367 [16 per cell]
O  0.0984  0.6317  0.1665 [16 per cell]
O  0.1699  0.2081  0.5047 [16 per cell]

Entry 9:
DFT (meta-GGA SCAN) results for VGa2O5 at its PBEsol-relaxed geometry.

Calculated values
Its crystal system is monoclinic.

Cell lengths 9.9059, 4.9724, 6.8815 Å; angles 90.00, 110.37, 90.00 degrees
Space group C2/c (No. 15)
Unique sites:
V  0.0000  0.0000  0.0000 [4 per cell]
Ga  0.1363  0.4975  0.2281 [8 per cell]
O  0.0000  0.1974  0.7500 [4 per cell]
O  0.0875  0.3321  0.4538 [8 per cell]
O  0.1807  0.1488  0.1447 [8 per cell]

Entry 10:
DFT (meta-GGA SCAN) results for Y4Ga2O9 at its PBEsol-relaxed geometry.

Calculated values
Its crystal system is monoclinic. As for the density of states at the Fermi level: 0.00 states/eV/cell.

Cell lengths 7.3283, 10.5485, 11.2796 Å; angles 90.00, 108.01, 90.00 degrees
Space group P2_1/c (No. 14)
Unique sites:
Y  0.0194  0.1022  0.2999 [4 per cell]
Y  0.1630  0.6177  0.5855 [4 per cell]
Y  0.3419  0.1256  0.9387 [4 per cell]
Y  0.4797  0.6167  0.2209 [4 per cell]
Ga  0.2071  0.1716  0.6236 [4 per cell]
Ga  0.3429  0.6685  0.8933 [4 per cell]
O  0.0660  0.2352  0.4732 [4 per cell]
O  0.0789  0.5088  0.3946 [4 per cell]
O  0.2092  0.7442  0.2515 [4 per cell]
O  0.2122  0.0035  0.6531 [4 per cell]
O  0.2327  0.2440  0.2718 [4 per cell]
O  0.3035  0.5052  0.8395 [4 per cell]
O  0.3678  0.7352  0.0469 [4 per cell]
O  0.4303  0.2457  0.6110 [4 per cell]
O  0.4359  0.5067  0.6079 [4 per cell]

| no. | V (Å³ per atom) | total DFT energy (no corrections) (eV/atom) | uncorrected formation energy (eV/atom) |
| --- | --- | --- | --- |
| 1 | 14.084 | -12.373 | -2.77 |
| 2 | 13.843 | -12.392 | -2.79 |
| 3 | 15.028 | -14.311 | -2.54 |
| 4 | 13.000 | -13.472 | -2.58 |
| 5 | 10.702 | -18.000 | -2.85 |
| 6 | 20.775 | -22.357 | 0.33 |
| 7 | 15.271 | -17.467 | -0.95 |
| 8 | 15.120 | -15.633 | -1.42 |
| 9 | 9.930 | -12.398 | -2.23 |
| 10 | 13.820 | -16.663 | -3.32 |